VASP calculation (PBE) on BeNi2Sb after structural relaxation.

**Space-group type**: F-43m (216)
**ρ**: 7.98 Mg/m³
**Energy relative to the elements, uncorrected**: 11.3 kJ/mol of atoms
**Energy above the most stable polymorph in this dataset**: 0.210 eV/atom

Cell and atoms, written as POSCAR:
```
BeNi2Sb
1.0
0.0000 2.9555 2.9555
2.9555 0.0000 2.9555
2.9555 2.9555 0.0000
Be Ni Sb
1 2 1
Direct
0.0000 0.0000 0.0000 Be
0.2500 0.2500 0.2500 Ni
0.5000 0.5000 0.5000 Ni
0.7500 0.7500 0.7500 Sb
```